The following is a DFT calculation (GGA-PBE) of Cs2KRbTe after structural relaxation.

Structure (CIF):
```
data_Cs2KRbTe
_chemical_formula_sum 'Cs2 K1 Rb1 Te1'
_space_group_name_H-M_alt 'P 4/m m m'
_space_group_IT_number 123
_space_group_name_Hall '-P 4 2'
_cell_length_a 7.582
_cell_length_b 7.582
_cell_length_c 6.863
_cell_angle_alpha 90.00
_cell_angle_beta 90.00
_cell_angle_gamma 90.00
loop_
_atom_site_label
_atom_site_fract_x
_atom_site_fract_y
_atom_site_fract_z
Cs1 0.000 0.500 0.000
K1 0.000 0.000 0.500
Rb1 0.500 0.500 0.500
Te1 0.000 0.000 0.000
```

* E_form (uncorrected): -0.528 eV/atom
* E above lowest polymorph: 0.0 meV/atom
* calculated total energy: -9.55 eV/cell
* crystal system: tetragonal
* magnetic moment: 0.00 Bohr magnetons per cell